Entry 1:
Below is a relaxed structure of ScBeI3, with properties calculated at the PBE level.

```
ScBeI3
1.0
-4.544 -3.503 0.484
3.519 -4.556 0.068
0.342 0.349 5.736
Be I Sc
1 3 1
Direct
0.500 0.500 0.500
0.500 0.000 0.000
0.000 0.000 0.500
0.000 0.500 0.000
0.000 0.000 0.000
```

Values from the calculation:
The value obtained for the distance to the lowest polymorph of the same formula is 0.0000 eV/atom. The space group is No. 221. The calculation puts the total energy at -0.1129 Ha/atom. The formation energy without anion corrections comes out at -132 meV/atom. The total moment comes out at 0.00 μB/atom.

=====

Entry 2:
Below is a relaxed structure of Ce3Pr2TmSe6, with properties calculated at the PBE level.

```
Ce3Pr2TmSe6
1.0
-1.665 3.276 1.979
-5.902 -5.027 3.355
7.605 -1.911 5.160
Ce Se Pr Tm
3 6 2 1
Direct
0.830 0.165 0.660
0.170 0.835 0.340
0.500 0.500 0.000
0.661 0.077 0.321
0.003 0.764 0.005
0.666 0.586 0.331
0.997 0.236 0.995
0.334 0.414 0.669
0.339 0.923 0.679
0.167 0.334 0.334
0.833 0.666 0.666
0.500 0.000 0.000
```

Values from the calculation:
The space group is No. 12. The calculation puts the total energy at -0.2278 Ha/atom. The formation energy without anion corrections comes out at -1804 meV/atom. The total moment comes out at 0.27 μB/atom.

=====

Entry 3:
Below is a relaxed structure of AlZn2Pt4, with properties calculated at the PBE level.

```
AlZn2Pt4
1.0
4.880 -0.380 -1.949
-2.542 4.412 -1.352
-0.219 0.380 5.250
Pt Zn Al
4 2 1
Direct
0.500 0.500 0.500
0.000 0.000 0.500
0.000 0.500 0.000
0.500 0.000 0.000
0.500 0.000 0.500
0.500 0.500 0.000
0.000 0.000 0.000
```

Values from the calculation:
The space group is No. 139. The calculation puts the total energy at -0.1804 Ha/atom. Its energy relative to the elements is -0.558 eV per atom. The total moment comes out at 0.00 μB/atom.

=====

Entry 4:
Below is a relaxed structure of SiNi, with properties calculated at the PBE level.

```
SiNi
1.0
3.353 0.000 0.000
1.676 2.903 0.000
1.676 0.968 2.737
Si Ni
1 1
Direct
0.500 0.500 0.500
0.000 0.000 0.000
```

Values from the calculation:
The space group is No. 225. The calculation puts the total energy at -0.2050 Ha/atom. The formation energy without anion corrections comes out at 25 meV/atom. The total moment comes out at 0.00 μB/atom.

=====

Entry 5:
Below is a relaxed structure of La2CdSi, with properties calculated at the PBE level.

```
La2CdSi
1.0
-6.474 5.250 -0.407
-4.853 -6.199 -2.769
-6.567 -1.319 1.886
La Si Cd
4 2 2
Direct
0.593 0.125 0.250
0.375 0.407 0.750
0.875 0.843 0.750
0.157 0.625 0.250
0.500 0.500 0.000
0.250 0.750 0.500
0.000 0.000 0.000
0.750 0.250 0.500
```

Values from the calculation:
The space group is No. 122. The calculation puts the total energy at -0.1543 Ha/atom. The formation energy without anion corrections comes out at -152 meV/atom. The total moment comes out at 0.00 μB/atom.

=====

Entry 6:
Below is a relaxed structure of LiLa2W, with properties calculated at the PBE level.

```
LiLa2W
1.0
-2.421 -1.789 0.394
0.511 -1.286 -2.702
6.005 -7.131 4.529
La Li W
2 1 1
Direct
0.000 0.000 0.955
0.500 0.500 0.285
0.000 0.000 0.539
0.500 0.500 0.720
```

Values from the calculation:
The value obtained for the distance to the lowest polymorph of the same formula is 0.2416 eV/atom. The space group is No. 99. The calculation puts the total energy at -0.2031 Ha/atom. Its energy relative to the elements is 0.653 eV per atom. The total moment comes out at 0.00 μB/atom.

=====

Entry 7:
Below is a relaxed structure of Zr2V2Tc, with properties calculated at the PBE level.

```
Zr2V2Tc
1.0
6.257 0.000 0.000
0.000 6.257 0.000
0.000 0.000 4.606
V Tc Zr
4 2 4
Direct
0.142 0.358 0.000
0.358 0.858 0.000
0.642 0.142 0.000
0.858 0.642 0.000
0.500 0.500 0.000
0.000 0.000 0.000
0.329 0.171 0.500
0.829 0.329 0.500
0.671 0.829 0.500
0.171 0.671 0.500
```

Values from the calculation:
The space group is No. 127. The calculation puts the total energy at -0.3345 Ha/atom. Its energy relative to the elements is 0.039 eV per atom. The total moment comes out at 0.00 μB/atom.

=====

Entry 8:
Below is a relaxed structure of TlPt2Au2, with properties calculated at the PBE level.

```
TlPt2Au2
1.0
-2.336 -3.102 -0.250
2.216 -1.878 2.588
-3.800 -0.072 6.127
Tl Au Pt
1 2 2
Direct
0.000 0.000 0.000
0.250 0.750 0.500
0.750 0.250 0.500
0.598 0.598 0.804
0.402 0.402 0.196
```

Values from the calculation:
The value obtained for the distance to the lowest polymorph of the same formula is 0.1339 eV/atom. The space group is No. 139. The calculation puts the total energy at -0.1478 Ha/atom. Its energy relative to the elements is 0.179 eV per atom. The total moment comes out at 0.00 μB/atom.